## A
DFT (PBE) results for Cd2FeAu after structural relaxation.

Values from the calculation:
The calculation puts the total moment at 2.7 μB per formula unit. The space-group type is Cm, No. 8.

Cell: 9.466 2.942 5.273 Å, 90.00 99.54 90.00°
Fractional positions:
Cd1 0.000 0.000 0.000
Cd2 0.240 0.000 0.728
Cd3 0.500 0.500 0.000
Cd4 0.740 0.500 0.728
Fe1 0.493 0.000 0.485
Fe2 0.993 0.500 0.485
Au1 0.256 0.500 0.261
Au2 0.756 0.000 0.261

## B
DFT (PBE) results for Cd2FeAu after structural relaxation.

Values from the calculation:
The calculation puts the total moment at 2.4 μB per formula unit. The space-group type is Cmmm, No. 65.

Cell: 5.945 8.176 2.967 Å, 90.00 90.00 90.00°
Fractional positions:
Cd1 0.250 0.250 0.000
Cd2 0.250 0.750 0.000
Cd3 0.750 0.250 0.000
Cd4 0.750 0.750 0.000
Fe1 0.000 0.000 0.500
Fe2 0.500 0.500 0.500
Au1 0.000 0.500 0.500
Au2 0.500 0.000 0.500

## C
DFT (PBE) results for Cd2FeAu after structural relaxation.

Values from the calculation:
The calculation puts the total moment at 2.8 μB per formula unit. The space-group type is Fm-3m, No. 225.

Cell: 6.610 6.610 6.610 Å, 90.00 90.00 90.00°
Fractional positions:
Cd1 0.250 0.250 0.250
Cd2 0.250 0.250 0.750
Cd3 0.250 0.750 0.250
Cd4 0.250 0.750 0.750
Cd5 0.750 0.250 0.250
Cd6 0.750 0.250 0.750
Cd7 0.750 0.750 0.250
Cd8 0.750 0.750 0.750
Fe1 0.000 0.000 0.000
Fe2 0.000 0.500 0.500
Fe3 0.500 0.000 0.500
Fe4 0.500 0.500 0.000
Au1 0.000 0.000 0.500
Au2 0.000 0.500 0.000
Au3 0.500 0.000 0.000
Au4 0.500 0.500 0.500

## D
DFT (PBE) results for Cd2FeAu after structural relaxation.

Values from the calculation:
The calculation puts the total moment at 2.7 μB per formula unit. The space-group type is P2/m, No. 10.

Cell: 2.997 3.817 6.262 Å, 90.00 90.58 90.00°
Fractional positions:
Cd1 0.000 0.000 0.237
Cd2 0.000 0.000 0.763
Fe1 0.500 0.500 0.000
Au1 0.500 0.500 0.500

It turns out D is the most stable, with the second structure 1.0 kJ/mol of atoms higher.

## A
DFT (PBE) results for Cd2Ga2Au3 after structural relaxation.

Values from the calculation:
The calculation puts the total moment at 0.0 μB per formula unit. The space-group type is P-1, No. 2.

Cell: 3.522 3.584 12.992 Å, 83.80 83.56 63.68°
Fractional positions:
Cd1 0.142 0.154 0.085
Cd2 0.858 0.846 0.915
Ga1 0.377 0.380 0.365
Ga2 0.623 0.620 0.635
Au1 0.000 0.000 0.500
Au2 0.247 0.238 0.762
Au3 0.753 0.762 0.238

## B
DFT (PBE) results for Cd2Ga2Au3 after structural relaxation.

Values from the calculation:
The calculation puts the total moment at 0.0 μB per formula unit. The space-group type is P2_1/c, No. 14.

Cell: 5.325 7.495 7.029 Å, 90.00 94.56 90.00°
Fractional positions:
Cd1 0.112 0.142 0.143
Cd2 0.112 0.358 0.643
Cd3 0.888 0.642 0.357
Cd4 0.888 0.858 0.857
Ga1 0.397 0.700 0.983
Ga2 0.397 0.800 0.483
Ga3 0.603 0.200 0.517
Ga4 0.603 0.300 0.017
Au1 0.000 0.000 0.500
Au2 0.000 0.500 0.000
Au3 0.386 0.039 0.805
Au4 0.386 0.461 0.305
Au5 0.614 0.539 0.695
Au6 0.614 0.961 0.195

It turns out B is the most stable, with the second structure 6.7 kJ/mol of atoms higher.

## A
DFT (PBE) results for CdGa2Au2 after structural relaxation.

Values from the calculation:
The calculation puts the total moment at 0.0 μB per formula unit. The space-group type is I4/mmm, No. 139.

Cell: 3.895 3.895 12.983 Å, 90.00 90.00 90.00°
Fractional positions:
Cd1 0.000 0.000 0.000
Cd2 0.500 0.500 0.500
Ga1 0.000 0.500 0.250
Ga2 0.000 0.500 0.750
Ga3 0.500 0.000 0.250
Ga4 0.500 0.000 0.750
Au1 0.000 0.000 0.393
Au2 0.000 0.000 0.607
Au3 0.500 0.500 0.107
Au4 0.500 0.500 0.893

## B
DFT (PBE) results for CdGa2Au2 after structural relaxation.

Values from the calculation:
The calculation puts the total moment at 0.0 μB per formula unit. The space-group type is C2/m, No. 12.

Cell: 6.409 5.312 6.334 Å, 90.00 110.15 90.00°
Fractional positions:
Cd1 0.000 0.000 0.000
Cd2 0.500 0.500 0.000
Ga1 0.000 0.254 0.500
Ga2 0.000 0.746 0.500
Ga3 0.500 0.246 0.500
Ga4 0.500 0.754 0.500
Au1 0.165 0.500 0.214
Au2 0.335 0.000 0.786
Au3 0.665 0.000 0.214
Au4 0.835 0.500 0.786

## C
DFT (PBE) results for CdGa2Au2 after structural relaxation.

Values from the calculation:
The calculation puts the total moment at 0.0 μB per formula unit. The space-group type is C2/c, No. 15.

Cell: 6.821 6.821 6.131 Å, 115.32 115.32 95.01°
Fractional positions:
Cd1 0.129 0.871 0.750
Cd2 0.871 0.129 0.250
Ga1 0.203 0.457 0.223
Ga2 0.457 0.203 0.723
Ga3 0.543 0.797 0.277
Ga4 0.797 0.543 0.777
Au1 0.149 0.851 0.250
Au2 0.407 0.593 0.750
Au3 0.593 0.407 0.250
Au4 0.851 0.149 0.750

It turns out B is the most stable, with the second structure 1.4 kJ/mol of atoms higher.

## A
DFT (PBE) results for CdGa2Au2 after structural relaxation.

Values from the calculation:
The calculation puts the total moment at 0.0 μB per formula unit. The space-group type is P4/mbm, No. 127.

Cell: 7.509 7.509 3.525 Å, 90.00 90.00 90.00°
Fractional positions:
Cd1 0.000 0.000 0.000
Cd2 0.500 0.500 0.000
Ga1 0.156 0.344 0.500
Ga2 0.344 0.844 0.500
Ga3 0.656 0.156 0.500
Ga4 0.844 0.656 0.500
Au1 0.143 0.643 0.000
Au2 0.357 0.143 0.000
Au3 0.643 0.857 0.000
Au4 0.857 0.357 0.000

## B
DFT (PBE) results for CdGa2Au2 after structural relaxation.

Values from the calculation:
The calculation puts the total moment at 0.0 μB per formula unit. The space-group type is P4/mbm, No. 127.

Cell: 8.309 8.309 2.809 Å, 90.00 90.00 90.00°
Fractional positions:
Cd1 0.000 0.000 0.000
Cd2 0.500 0.500 0.000
Ga1 0.127 0.373 0.000
Ga2 0.373 0.873 0.000
Ga3 0.627 0.127 0.000
Ga4 0.873 0.627 0.000
Au1 0.171 0.671 0.500
Au2 0.329 0.171 0.500
Au3 0.671 0.829 0.500
Au4 0.829 0.329 0.500

It turns out A is the most stable, with the second structure 0.9 kJ/mol of atoms higher.

## A
DFT (PBE) results for Cd2Ga2Au after structural relaxation.

Values from the calculation:
The calculation puts the total moment at 0.0 μB per formula unit. The space-group type is P4/mbm, No. 127.

Cell: 7.365 7.365 4.027 Å, 90.00 90.00 90.00°
Fractional positions:
Cd1 0.145 0.355 0.000
Cd2 0.355 0.855 0.000
Cd3 0.645 0.145 0.000
Cd4 0.855 0.645 0.000
Ga1 0.158 0.658 0.500
Ga2 0.342 0.158 0.500
Ga3 0.658 0.842 0.500
Ga4 0.842 0.342 0.500
Au1 0.000 0.000 0.000
Au2 0.500 0.500 0.000

## B
DFT (PBE) results for Cd2Ga2Au after structural relaxation.

Values from the calculation:
The calculation puts the total moment at 0.0 μB per formula unit. The space-group type is P4/mbm, No. 127.

Cell: 6.795 6.795 4.442 Å, 90.00 90.00 90.00°
Fractional positions:
Cd1 0.174 0.326 0.000
Cd2 0.326 0.826 0.000
Cd3 0.674 0.174 0.000
Cd4 0.826 0.674 0.000
Ga1 0.136 0.636 0.500
Ga2 0.364 0.136 0.500
Ga3 0.636 0.864 0.500
Ga4 0.864 0.364 0.500
Au1 0.000 0.000 0.500
Au2 0.500 0.500 0.500

## C
DFT (PBE) results for Cd2Ga2Au after structural relaxation.

Values from the calculation:
The calculation puts the total moment at 0.0 μB per formula unit. The space-group type is I4/mmm, No. 139.

Cell: 4.003 4.003 14.004 Å, 90.00 90.00 90.00°
Fractional positions:
Cd1 0.000 0.500 0.250
Cd2 0.000 0.500 0.750
Cd3 0.500 0.000 0.250
Cd4 0.500 0.000 0.750
Ga1 0.000 0.000 0.089
Ga2 0.000 0.000 0.911
Ga3 0.500 0.500 0.411
Ga4 0.500 0.500 0.589
Au1 0.000 0.000 0.500
Au2 0.500 0.500 0.000

## D
DFT (PBE) results for Cd2Ga2Au after structural relaxation.

Values from the calculation:
The calculation puts the total moment at 0.0 μB per formula unit. The space-group type is I4/mmm, No. 139.

Cell: 3.689 3.689 15.615 Å, 90.00 90.00 90.00°
Fractional positions:
Cd1 0.000 0.000 0.095
Cd2 0.000 0.000 0.905
Cd3 0.500 0.500 0.405
Cd4 0.500 0.500 0.595
Ga1 0.000 0.500 0.250
Ga2 0.000 0.500 0.750
Ga3 0.500 0.000 0.250
Ga4 0.500 0.000 0.750
Au1 0.000 0.000 0.500
Au2 0.500 0.500 0.000

It turns out B is the most stable, with the second structure 8.9 kJ/mol of atoms higher.

## A
DFT (PBE) results for CdGa2Au8 after structural relaxation.

Values from the calculation:
The calculation puts the total moment at 0.0 μB per formula unit. The space-group type is C2/m, No. 12.

Cell: 8.386 8.386 6.737 Å, 109.28 109.28 26.81°
Fractional positions:
Cd1 0.000 0.000 0.000
Ga1 0.291 0.291 0.338
Ga2 0.709 0.709 0.662
Au1 0.090 0.090 0.460
Au2 0.178 0.178 0.939
Au3 0.341 0.341 0.757
Au4 0.454 0.454 0.262
Au5 0.546 0.546 0.738
Au6 0.659 0.659 0.243
Au7 0.822 0.822 0.061
Au8 0.910 0.910 0.540

## B
DFT (PBE) results for CdGa2Au8 after structural relaxation.

Values from the calculation:
The calculation puts the total moment at 0.0 μB per formula unit. The space-group type is P1, No. 1.

Cell: 4.910 6.227 7.546 Å, 109.08 104.79 99.09°
Fractional positions:
Cd1 0.000 0.000 0.000
Ga1 0.265 0.373 0.685
Ga2 0.731 0.624 0.316
Au1 0.188 0.963 0.385
Au2 0.213 0.454 0.345
Au3 0.297 0.649 0.046
Au4 0.365 0.852 0.754
Au5 0.633 0.145 0.247
Au6 0.699 0.348 0.954
Au7 0.784 0.544 0.656
Au8 0.807 0.034 0.615

It turns out B is the most stable, with the second structure 1.8 kJ/mol of atoms higher.

## A
DFT (PBE) results for Cd2Ga2Au7 after structural relaxation.

Values from the calculation:
The calculation puts the total moment at 0.0 μB per formula unit. The space-group type is C2/m, No. 12.

Cell: 6.732 6.732 5.294 Å, 105.76 105.76 80.06°
Fractional positions:
Cd1 0.179 0.821 0.000
Cd2 0.821 0.179 0.000
Ga1 0.332 0.332 0.553
Ga2 0.668 0.668 0.447
Au1 0.000 0.000 0.500
Au2 0.020 0.569 0.282
Au3 0.401 0.401 0.123
Au4 0.431 0.980 0.718
Au5 0.569 0.020 0.282
Au6 0.599 0.599 0.877
Au7 0.980 0.431 0.718

## B
DFT (PBE) results for Cd2Ga2Au7 after structural relaxation.

Values from the calculation:
The calculation puts the total moment at 0.0 μB per formula unit. The space-group type is C2/m, No. 12.

Cell: 6.926 6.926 5.123 Å, 110.14 110.14 90.44°
Fractional positions:
Cd1 0.169 0.831 0.000
Cd2 0.831 0.169 0.000
Ga1 0.375 0.375 0.601
Ga2 0.625 0.625 0.399
Au1 0.000 0.000 0.500
Au2 0.081 0.580 0.335
Au3 0.310 0.310 0.031
Au4 0.420 0.919 0.665
Au5 0.580 0.081 0.335
Au6 0.690 0.690 0.969
Au7 0.919 0.420 0.665

It turns out B is the most stable, with the second structure 0.9 kJ/mol of atoms higher.

## A
DFT (PBE) results for Cd3GaAu3 after structural relaxation.

Values from the calculation:
The calculation puts the total moment at 0.0 μB per formula unit. The space-group type is R-3m, No. 166.

Cell: 5.660 5.660 5.660 Å, 107.74 107.74 107.74°
Fractional positions:
Cd1 0.000 0.500 0.500
Cd2 0.500 0.000 0.500
Cd3 0.500 0.500 0.000
Ga1 0.000 0.000 0.000
Au1 0.000 0.000 0.500
Au2 0.000 0.500 0.000
Au3 0.500 0.000 0.000

## B
DFT (PBE) results for Cd3GaAu3 after structural relaxation.

Values from the calculation:
The calculation puts the total moment at 0.0 μB per formula unit. The space-group type is C2/m, No. 12.

Cell: 6.727 6.727 7.009 Å, 93.67 93.67 101.21°
Fractional positions:
Cd1 0.143 0.857 0.000
Cd2 0.258 0.742 0.500
Cd3 0.399 0.399 0.817
Cd4 0.601 0.601 0.183
Cd5 0.742 0.258 0.500
Cd6 0.857 0.143 0.000
Ga1 0.254 0.254 0.401
Ga2 0.746 0.746 0.599
Au1 0.083 0.083 0.683
Au2 0.144 0.489 0.160
Au3 0.489 0.144 0.160
Au4 0.511 0.856 0.840
Au5 0.856 0.511 0.840
Au6 0.917 0.917 0.317

It turns out A is the most stable, with the second structure 1.1 kJ/mol of atoms higher.